Computed, not measured: a relaxed LaSnGe3 crystal at the PBE-GGA level of DFT.

Calculated values
E   -21.157 eV/cell
DOS(E_F)   3.40 states/eV/f.u.
Offset from the most stable computed form   0.000 eV per atom
Crystal system   cubic
ΔH_f (0 K)   1.625 eV/f.u.
M_tot   0.000 μB per cell

Lattice parameters (Å, degrees): 5.2336 5.2336 5.2336 90.00 90.00 90.00
Closest atoms and distances in Å follow each position.
Space group Pm-3m (No. 221)
Asymmetric unit:
La 0.0000 0.0000 0.0000 (multiplicity 1)  12 Ge 3.70
Sn 0.5000 0.5000 0.5000 (multiplicity 1)  6 Ge 2.62
Ge 0.0000 0.5000 0.5000 (multiplicity 3)  2 Sn 2.62